(1)
A plane-wave DFT calculation with meta-GGA SCAN was carried out for a crystal of Li2YNi relaxed with PBEsol.

Cell lengths 2.9738, 2.9738, 9.5862 Å; angles 81.08, 81.08, 60.00 degrees
Last column: nearest neighbours and their distance in Å.
Sites, in units of the cell vectors:
Li (0.2320, 0.2320, 0.3040)  3 Ni 2.52
Li (0.7680, 0.7680, 0.6960)  3 Ni 2.52
Ni (0.5000, 0.5000, 0.5000)  6 Li 2.52
Y (0.0000, 0.0000, 0.0000)  6 Y 2.97

## Properties
Polymorph energy (0 for the lowest one) in kJ/mol of formula units: 186
Total magnetization in μB per formula unit: 0.50
Energy of formation from the pure elements in meV/atom: 435
Space group: R-3m, No. 166

(2)
A plane-wave DFT calculation with meta-GGA SCAN was carried out for a crystal of TiCd3Bi relaxed with PBEsol.

Cell lengths 5.1971, 5.1971, 5.1971 Å; angles 90.00, 90.00, 90.00 degrees
Last column: nearest neighbours and their distance in Å.
Sites, in units of the cell vectors:
Cd (0.0000, 0.5000, 0.0000)  2 Ti 2.60
Cd (0.5000, 0.0000, 0.0000)  2 Ti 2.60
Cd (0.0000, 0.0000, 0.5000)  2 Ti 2.60
Bi (0.5000, 0.5000, 0.5000)  12 Cd 3.67
Ti (0.0000, 0.0000, 0.0000)  6 Cd 2.60

## Properties
Total magnetization in μB per formula unit: 1.55
Energy of formation from the pure elements in meV/atom: 762
Space group: Pm-3m, No. 221

(3)
A plane-wave DFT calculation with meta-GGA SCAN was carried out for a crystal of TiPtBr2 relaxed with PBEsol.

Cell lengths 4.4741, 4.4741, 8.7571 Å; angles 104.80, 104.80, 90.00 degrees
Last column: nearest neighbours and their distance in Å.
Sites, in units of the cell vectors:
Pt (0.0000, 0.0000, 0.0000)  4 Br 2.60
Pt (0.2500, 0.7500, 0.5000)  4 Br 2.60
Br (0.3821, 0.8750, 0.2500)  2 Ti 2.57, 2 Pt 2.60
Br (0.1250, 0.1321, 0.7500)  2 Ti 2.57, 2 Pt 2.60
Br (0.6250, 0.6179, 0.7500)  2 Ti 2.57, 2 Pt 2.60
Br (0.8679, 0.3750, 0.2500)  2 Ti 2.57, 2 Pt 2.60
Ti (0.5000, 0.5000, 0.0000)  4 Br 2.57
Ti (0.7500, 0.2500, 0.5000)  4 Br 2.57

## Properties
Formation energy without anion corrections in meV per atom: 7
Total magnetization in μB per formula unit: 1.93
Space group: I-42d, No. 122

(4)
A plane-wave DFT calculation with meta-GGA SCAN was carried out for a crystal of TlSiSb2I relaxed with PBEsol.

Cell lengths 5.2045, 5.2045, 5.7252 Å; angles 90.00, 90.00, 90.00 degrees
Last column: nearest neighbours and their distance in Å.
Sites, in units of the cell vectors:
I (0.0000, 0.0000, 0.5000)  2 Si 2.86
Sb (0.0000, 0.5000, 0.0000)  2 Si 2.60
Sb (0.5000, 0.0000, 0.0000)  2 Si 2.60
Si (0.0000, 0.0000, 0.0000)  4 Sb 2.60, 2 I 2.86
Tl (0.5000, 0.5000, 0.5000)  4 I 3.68, 8 Sb 3.87

## Properties
Formation energy without anion corrections in meV per atom: 446
Total magnetization in μB per formula unit: 0.76
Space group: P4/mmm, No. 123

(5)
A plane-wave DFT calculation with meta-GGA SCAN was carried out for a crystal of KHfInAu2 relaxed with PBEsol.

Cell lengths 5.0569, 5.0569, 5.3359 Å; angles 90.00, 90.00, 90.00 degrees
Last column: nearest neighbours and their distance in Å.
Sites, in units of the cell vectors:
In (0.0000, 0.0000, 0.0000)  4 Au 2.53, 2 K 2.67
Au (0.5000, 0.0000, 0.0000)  2 In 2.53
Au (0.0000, 0.5000, 0.0000)  2 In 2.53
Hf (0.5000, 0.5000, 0.5000)  4 K 3.58, 8 Au 3.68
K (0.0000, 0.0000, 0.5000)  2 In 2.67

## Properties
Total magnetization in μB per formula unit: 0.01
Energy of formation from the pure elements in meV/atom: 991
Space group: P4/mmm, No. 123

(6)
A plane-wave DFT calculation with meta-GGA SCAN was carried out for a crystal of BiSbO3 relaxed with PBEsol.

Cell lengths 5.7810, 5.7810, 5.7810 Å; angles 65.94, 65.94, 65.94 degrees
Last column: nearest neighbours and their distance in Å.
Sites, in units of the cell vectors:
Sb (0.6404, 0.6404, 0.6404)  3 O 2.09
Sb (0.3596, 0.3596, 0.3596)  3 O 2.09
Bi (0.1300, 0.1300, 0.1300)  6 O 2.30-2.46
Bi (0.8700, 0.8700, 0.8700)  6 O 2.30-2.46
O (0.2390, 0.5103, 0.0187)  1 Sb 2.09, 1 Bi 2.30
O (0.7610, 0.4897, 0.9813)  1 Sb 2.09, 1 Bi 2.30
O (0.4897, 0.9813, 0.7610)  1 Sb 2.09, 1 Bi 2.30
O (0.9813, 0.7610, 0.4897)  1 Sb 2.09, 1 Bi 2.30
O (0.0187, 0.2390, 0.5103)  1 Sb 2.09, 1 Bi 2.30
O (0.5103, 0.0187, 0.2390)  1 Sb 2.09, 1 Bi 2.30

## Properties
Formation energy without anion corrections in meV per atom: -1171
Total magnetization in μB per formula unit: 0.00
Space group: R-3, No. 148

Question: What is the total magnetization in the fifth record?
Answer: 0.01 μB per formula unit

Question: The highest total magnetization belongs to which entry?
Answer: TiPtBr2

Question: What is the total magnetization in the fourth record?
Answer: 0.76 μB per formula unit

Question: The highest total magnetization belongs to which entry?
Answer: TiPtBr2